K2TcAg: optimized geometry, GGA-PBE.

The space group is Immm (No. 71) and the conventional cell measures 3.4274, 4.5865 and 15.2826 Å, with angles of 90.00, 90.00 and 90.00 degrees. Symmetry generates all atoms from K at (0.0000, 0.0000, 0.1695), Tc at (0.0000, 0.5000, 0.0000) and Ag at (0.0000, 0.5000, 0.5000).

Its density of states at the Fermi level is 0.789 states/eV per atom. As for the formation energy from the elements: 4.1 eV per formula unit. The relative energy among the computed polymorphs is 17.1 kJ per mole of atoms.



Ca2In6Pd: optimized geometry, GGA-PBE.

The space group is C2/m (No. 12) and the conventional cell measures 11.4068, 6.5866 and 6.1120 Å, with angles of 90.00, 90.08 and 90.00 degrees. Symmetry generates all atoms from Ca at (0.1670, 0.0000, 0.3317), In at (0.0877, 0.2375, 0.8079), In at (0.1745, 0.5000, 0.1934) and Pd at (0.0000, 0.5000, 0.5000).

Its density of states at the Fermi level is 0.430 states/eV per atom. As for the formation energy from the elements: -3.4 eV per formula unit.



La2PrCu9: optimized geometry, GGA-PBE.

The space group is R-3m (No. 166, hexagonal axes) and the conventional cell measures 5.2868, 5.2868 and 25.5354 Å, with angles of 90.00, 90.00 and 120.00 degrees. Symmetry generates all atoms from La at (0.0000, 0.0000, 0.1443), Pr at (0.0000, 0.0000, 0.0000), Cu at (0.0000, 0.0000, 0.3309), Cu at (0.0000, 0.0000, 0.5000) and Cu at (0.0080, 0.5040, 0.0795).

Its density of states at the Fermi level is 0.662 states/eV per atom. As for the formation energy from the elements: -1.6 eV per formula unit.



CeNd2Tl3Te6: optimized geometry, GGA-PBE.

The space group is C2/m (No. 12) and the conventional cell measures 7.9335, 13.7393 and 8.5964 Å, with angles of 90.00, 107.91 and 90.00 degrees. Symmetry generates all atoms from Ce at (0.0000, 0.0000, 0.0000), Nd at (0.0000, 0.3335, 0.0000), Tl at (0.0000, 0.1673, 0.5000), Tl at (0.0000, 0.5000, 0.5000), Te at (0.2402, 0.1669, 0.2201) and Te at (0.2396, 0.5000, 0.2201).

Its density of states at the Fermi level is 0.696 states/eV per atom. The formation energy (no corrections) is -1.05 eV/atom.



Ir2PtBr: optimized geometry, GGA-PBE.

The space group is Imm2 (No. 44) and the conventional cell measures 2.7952, 4.7507 and 10.0455 Å, with angles of 90.00, 90.00 and 90.00 degrees. Symmetry generates all atoms from Ir at (0.0000, 0.0000, 0.0000), Ir at (0.0000, 0.5000, 0.2786), Pt at (0.0000, 0.5000, 0.7458) and Br at (0.0000, 0.0000, 0.5317).

Its density of states at the Fermi level is 0.740 states/eV per atom. The formation energy (no corrections) is 0.76 eV/atom. The relative energy among the computed polymorphs is 25.2 kJ per mole of atoms.



SiN: optimized geometry, GGA-PBE.

The space group is Fddd (No. 70, origin choice 2) and the conventional cell measures 5.0666, 7.5976 and 7.8045 Å, with angles of 90.00, 90.00 and 90.00 degrees. Symmetry generates all atoms from Si at (0.1234, 0.3750, 0.3750) and N at (0.1250, 0.1250, 0.4500).

The formation energy (no corrections) is -0.13 eV/atom. The relative energy among the computed polymorphs is 60.0 kJ per mole of atoms.



Number 1: total DFT energy (no corrections) -2.836 eV/atom. Number 2: total DFT energy (no corrections) -3.227 eV/atom. Number 3: total DFT energy (no corrections) -4.422 eV/atom. Number 4: total DFT energy (no corrections) -4.502 eV/atom. Number 5: total DFT energy (no corrections) -5.596 eV/atom. Number 6: total DFT energy (no corrections) -7.004 eV/atom.